Record 1
DFT (PBE) results for crystalline K2LiMnMo at its relaxed geometry.

Computed properties:
**VASP energy**: -2.618 eV per atom
**Density**: 3.78 g/cm3
**Symmetry**: P4/mmm
**Energy of formation from the pure elements**: 2.204 eV/atom
**Volume**: 20.73 Å³ per atom

POSCAR file:
```
K2LiMnMo
1.0
4.398 0.000 0.000
0.000 5.358 0.000
0.000 0.000 4.398
Mo Mn K Li
1 1 2 1
Cartesian
2.199 2.679 2.199 Mo
0.000 2.679 0.000 Mn
0.000 0.000 2.199 K
2.199 0.000 0.000 K
0.000 0.000 0.000 Li
```

Record 2
DFT (PBE) results for crystalline CsPuMgCl6 at its relaxed geometry.

Computed properties:
**VASP energy**: -4.988 eV per atom
**Density**: 3.21 g/cm3
**Symmetry**: Imma
**Volume**: 35.31 Å³ per atom
**Formation energy without anion corrections**: -1.89 eV per atom

POSCAR file:
```
CsPuMgCl6
1.0
9.387 0.000 0.000
0.000 9.932 0.000
-4.694 -4.966 6.818
Cs Pu Mg Cl
2 2 2 12
Cartesian
4.694 2.483 6.163 Cs
0.000 2.483 0.656 Cs
4.694 4.966 0.000 Pu
4.694 0.000 0.000 Pu
2.347 -2.483 3.409 Mg
-2.347 -2.483 3.409 Mg
0.000 2.483 5.654 Cl
4.694 -2.483 4.006 Cl
6.778 -0.642 1.625 Cl
2.609 5.608 1.625 Cl
2.609 -0.642 1.625 Cl
6.778 5.608 1.625 Cl
4.694 2.483 1.164 Cl
0.000 7.449 2.812 Cl
-2.085 5.608 5.193 Cl
2.085 -0.642 5.193 Cl
2.085 5.608 5.193 Cl
-2.085 -0.642 5.193 Cl
```

Record 3
DFT (PBE) results for crystalline Sm2Mg7 at its relaxed geometry.

Computed properties:
**VASP energy**: -2.327 eV per atom
**Density**: 3.35 g/cm3
**Symmetry**: R-3m
**Energy of formation from the pure elements**: -0.038 eV/atom
**Volume**: 25.93 Å³ per atom

POSCAR file:
```
Sm2Mg7
1.0
6.032 0.000 0.000
3.016 5.224 0.000
3.016 1.741 14.815
Sm Mg
4 14
Cartesian
3.016 1.741 12.492 Sm
9.048 5.224 2.323 Sm
3.016 1.741 8.051 Sm
9.048 5.224 6.764 Sm
6.032 3.482 7.407 Mg
3.016 1.741 2.456 Mg
9.048 5.224 12.358 Mg
6.032 3.482 12.337 Mg
6.032 3.482 2.477 Mg
3.016 0.000 0.000 Mg
1.508 2.612 0.000 Mg
4.524 2.612 0.000 Mg
7.555 4.362 9.873 Mg
6.032 1.724 9.873 Mg
4.509 4.362 9.873 Mg
4.509 2.603 4.942 Mg
6.032 5.241 4.942 Mg
7.555 2.603 4.942 Mg
```

Record 4
DFT (PBE) results for crystalline TlPIr2 at its relaxed geometry.

Computed properties:
**VASP energy**: -6.246 eV per atom
**Offset from the most stable computed form**: 75 meV/atom
**Density**: 13.53 g/cm3
**Symmetry**: Pm
**Energy of formation from the pure elements**: 0.129 eV/atom
**Volume**: 19.01 Å³ per atom

POSCAR file:
```
TlPIr2
1.0
-1.637 0.652 3.986
-1.760 -3.175 -0.203
3.386 -2.963 1.875
Ir P Tl
2 1 1
Cartesian
-1.184 -3.269 0.049 Ir
-0.691 -1.528 2.348 Ir
0.755 -2.320 0.690 P
0.163 -4.612 3.204 Tl
```

Record 5
DFT (PBE) results for crystalline Pu2Pd3Au2 at its relaxed geometry.

Computed properties:
**VASP energy**: -7.448 eV per atom
**Density**: 14.19 g/cm3
**Symmetry**: I2_13
**Energy of formation from the pure elements**: -0.191 eV/atom
**Volume**: 20.09 Å³ per atom

POSCAR file:
```
Pu2Pd3Au2
1.0
7.148 0.000 0.000
-2.383 6.740 0.000
-2.383 -3.370 5.837
Pu Pd Au
4 6 4
Cartesian
-1.977 -2.796 4.843 Pu
0.406 3.908 2.918 Pu
-1.977 2.258 3.912 Pu
1.166 3.370 0.000 Pu
0.773 1.981 5.324 Pd
3.993 -0.296 3.431 Pd
-0.773 1.435 1.459 Pd
0.773 -1.435 4.378 Pd
-0.773 5.601 0.946 Pd
3.156 2.823 1.972 Pd
-0.899 -1.271 2.202 Au
1.484 0.858 2.918 Au
3.867 0.413 0.716 Au
5.080 3.370 0.000 Au
```

Record 6
DFT (PBE) results for crystalline GeH3Ir at its relaxed geometry.

Computed properties:
**VASP energy**: -4.428 eV per atom
**Offset from the most stable computed form**: 0 meV/atom
**Density**: 9.50 g/cm3
**Symmetry**: Pm-3m
**Volume**: 9.37 Å³ per atom

POSCAR file:
```
GeH3Ir
1.0
-2.025 -2.933 -0.541
2.769 -1.605 -1.658
1.108 -1.347 3.154
H Ge Ir
3 1 1
Cartesian
1.384 -0.803 -0.829 H
0.554 -0.674 1.577 H
-1.012 -1.466 -0.271 H
0.926 -2.943 0.477 Ge
0.000 0.000 0.000 Ir
```

Record 7
DFT (PBE) results for crystalline MgCd4Re at its relaxed geometry.

Computed properties:
**VASP energy**: -2.334 eV per atom
**Density**: 8.94 g/cm3
**Symmetry**: F-43m
**Energy of formation from the pure elements**: 0.616 eV/atom
**Volume**: 20.44 Å³ per atom

POSCAR file:
```
MgCd4Re
1.0
5.053 -2.354 -0.160
3.368 0.323 4.433
1.052 -4.556 3.040
Mg Cd Re
1 4 1
Cartesian
7.105 -4.940 5.485 Mg
6.085 -3.649 2.658 Cd
4.076 -4.754 4.265 Cd
5.239 -2.305 4.964 Cd
3.548 -2.467 2.739 Cd
0.000 0.000 0.000 Re
```

Record 8
DFT (PBE) results for crystalline Cs2PmMg2Se4 at its relaxed geometry.

Computed properties:
**VASP energy**: -3.944 eV per atom
**Density**: 4.42 g/cm3
**Symmetry**: C2/m
**Volume**: 32.37 Å³ per atom
**Formation energy without anion corrections**: -1.32 eV per atom

POSCAR file:
```
Cs2PmMg2Se4
1.0
-3.461 -0.261 -2.573
0.230 -8.585 0.561
-3.021 2.890 7.398
Cs Pm Mg Se
2 1 2 4
Cartesian
-1.083 -3.925 1.855 Cs
-5.169 -2.032 3.532 Cs
0.000 0.000 0.000 Pm
-3.135 -7.563 1.357 Mg
-3.116 1.607 4.029 Mg
-1.867 -0.250 2.537 Se
-4.384 -5.706 2.849 Se
-1.772 -6.617 -0.573 Se
-4.480 0.661 5.959 Se
```

Record 9
DFT (PBE) results for crystalline Ce5Tc2Pb2 at its relaxed geometry.

Computed properties:
**VASP energy**: -6.626 eV per atom
**Density**: 9.03 g/cm3
**Symmetry**: Cmce
**Energy of formation from the pure elements**: -0.202 eV/atom
**Volume**: 26.79 Å³ per atom

POSCAR file:
```
Ce5Tc2Pb2
1.0
-6.971 -3.080 -1.393
3.307 -5.380 -4.650
-0.762 -2.147 8.555
Ce Tc Pb
10 4 4
Cartesian
0.000 0.000 0.000 Ce
-1.832 -4.230 -3.022 Ce
-3.394 -7.279 -2.848 Ce
0.139 -3.398 -0.341 Ce
0.624 -6.604 -2.900 Ce
-3.878 -4.072 -0.289 Ce
-1.031 -3.328 5.360 Ce
-4.564 -7.209 2.853 Ce
-5.049 -4.002 5.411 Ce
-0.547 -6.535 2.801 Ce
-1.596 -6.618 -4.909 Tc
-2.068 -1.842 -1.134 Tc
1.134 -3.848 -3.150 Tc
-4.797 -4.612 -2.894 Tc
0.388 -2.101 2.707 Pb
-1.444 -6.331 -0.315 Pb
2.158 -5.425 1.198 Pb
-2.981 -4.275 2.827 Pb
```

Record 10
DFT (PBE) results for crystalline CsRbHF at its relaxed geometry.

Computed properties:
**VASP energy**: -3.074 eV per atom
**Offset from the most stable computed form**: 96 meV/atom
**Density**: 4.06 g/cm3
**Symmetry**: F-43m
**Volume**: 24.35 Å³ per atom

POSCAR file:
```
CsRbHF
1.0
5.164 0.000 0.000
2.582 4.472 0.000
2.582 1.491 4.217
Cs H Rb F
1 1 1 1
Cartesian
0.000 0.000 0.000 Cs
2.582 1.491 1.054 H
5.164 2.982 2.108 Rb
7.747 4.472 3.163 F
```

Record 11
DFT (PBE) results for crystalline NdFe2GeN at its relaxed geometry.

Computed properties:
**VASP energy**: -7.550 eV per atom
**Density**: 7.98 g/cm3
**Symmetry**: Cmcm
**Volume**: 14.25 Å³ per atom
**Formation energy without anion corrections**: -0.62 eV per atom

POSCAR file:
```
NdFe2GeN
1.0
3.851 0.000 0.000
-1.925 5.351 0.000
0.000 0.000 6.915
Nd Fe Ge N
2 4 2 2
Cartesian
0.000 4.796 5.187 Nd
1.925 0.555 1.729 Nd
0.000 1.708 6.509 Fe
1.925 3.643 0.407 Fe
0.000 1.708 3.864 Fe
1.925 3.643 3.051 Fe
1.925 2.439 5.187 Ge
0.000 2.912 1.729 Ge
0.000 0.000 0.000 N
0.000 0.000 3.458 N
```

Record 12
DFT (PBE) results for crystalline Na2AlGe2 at its relaxed geometry.

Computed properties:
**VASP energy**: -3.241 eV per atom
**Offset from the most stable computed form**: 0 meV/atom
**Density**: 3.24 g/cm3
**Symmetry**: C2/m
**Energy of formation from the pure elements**: -0.118 eV/atom
**Volume**: 22.36 Å³ per atom

POSCAR file:
```
Na2AlGe2
1.0
4.398 0.000 0.000
2.199 5.568 -0.215
2.199 0.461 9.111
Na Al Ge
4 2 4
Cartesian
2.199 1.617 0.882 Na
4.398 2.300 6.269 Na
6.597 4.412 8.014 Na
4.398 3.729 2.627 Na
4.398 0.529 3.281 Al
4.398 5.500 5.615 Al
6.597 1.183 8.106 Ge
2.199 1.807 3.992 Ge
2.199 4.846 0.790 Ge
6.597 4.222 4.904 Ge
```

These records have magnetization values of 0.01; 0.56; 0.00; 0.00; 1.60; 0.00; 0.42; 0.08; 0.00; 0.01; 0.00; 0.00 μB/atom, in the order they appear.
These records have DOS(E_F) values of 1.22; 1.07; 0.92; 0.43; 2.63; 0.22; 0.76; 0.43; 1.87; 0.00; 0.86; 0.35 states/eV/atom, in the order they appear.